[1]
This record from the Alexandria database describes a geometry-optimized HfCoF2 structure. The functional is GGA-PBEsol.

Cell and atoms, written as extended XYZ:
```
12
Lattice="2.7758 0.0000 0.0000 -1.3879 2.4039 0.0000 0.0000 0.0000 23.9393" Properties=species:S:1:pos:R:3 pbc="T T T"
Hf 0.0000 0.0000 0.0000
Hf 0.0000 1.6026 15.9595
Hf 1.3879 0.8013 7.9797
Co 0.0000 0.0000 11.9696
Co 0.0000 1.6026 3.9899
Co 1.3879 0.8013 19.9494
F 0.0000 0.0000 9.5289
F 0.0000 0.0000 14.4103
F 0.0000 1.6026 1.5492
F 0.0000 1.6026 6.4306
F 1.3879 0.8013 17.5087
F 1.3879 0.8013 22.3901
```

Results
space-group type	R-3m (166)
E_tot	-6.855	eV per atom
formation energy (no corrections)	-1.331	eV/atom

[2]
This record from the Alexandria database describes a geometry-optimized HfIn2CoF structure. The functional is GGA-PBEsol.

Cell and atoms, written as extended XYZ:
```
5
Lattice="4.8652 0.0000 0.0000 0.0000 4.8652 0.0000 0.0000 0.0000 3.7172" Properties=species:S:1:pos:R:3 pbc="T T T"
Hf 0.0000 0.0000 0.0000
In 0.0000 2.4326 1.8586
In 2.4326 0.0000 1.8586
Co 2.4326 2.4326 0.0000
F 2.4326 2.4326 1.8586
```

Results
space-group type	P4/mmm (123)
E_tot	-5.381	eV per atom
formation energy (no corrections)	-0.155	eV/atom

[3]
This record from the Alexandria database describes a geometry-optimized HfCoNF2 structure. The functional is GGA-PBEsol.

Cell and atoms, written as extended XYZ:
```
5
Lattice="3.6603 0.0000 0.0000 0.0000 3.6603 0.0000 0.0000 0.0000 3.9584" Properties=species:S:1:pos:R:3 pbc="T T T"
Hf 0.0000 0.0000 0.0000
Co 1.8302 1.8302 1.9792
N 1.8302 1.8302 0.0000
F 0.0000 1.8302 1.9792
F 1.8302 0.0000 1.9792
```

Results
space-group type	P4/mmm (123)
E_tot	-6.891	eV per atom
formation energy (no corrections)	-0.767	eV/atom

[4]
This record from the Alexandria database describes a geometry-optimized CoHgF3 structure. The functional is GGA-PBEsol.

Cell and atoms, written as extended XYZ:
```
5
Lattice="4.4532 0.0000 0.0000 0.0000 4.4532 0.0000 0.0000 0.0000 4.4532" Properties=species:S:1:pos:R:3 pbc="T T T"
Co 0.0000 0.0000 0.0000
Hg 2.2266 2.2266 2.2266
F 0.0000 2.2266 2.2266
F 2.2266 0.0000 2.2266
F 2.2266 2.2266 0.0000
```

Results
space-group type	Pm-3m (221)
E_tot	-3.192	eV per atom
formation energy (no corrections)	-0.375	eV/atom

[5]
This record from the Alexandria database describes a geometry-optimized CoHgNF2 structure. The functional is GGA-PBEsol.

Cell and atoms, written as extended XYZ:
```
5
Lattice="4.0172 0.0000 0.0000 0.0000 4.0172 0.0000 0.0000 0.0000 3.5821" Properties=species:S:1:pos:R:3 pbc="T T T"
Co 0.0000 0.0000 0.0000
Hg 2.0086 2.0086 1.7911
N 0.0000 0.0000 1.7911
F 0.0000 2.0086 0.0000
F 2.0086 0.0000 0.0000
```

Results
space-group type	P4/mmm (123)
E_tot	-4.560	eV per atom
formation energy (no corrections)	-0.423	eV/atom

[6]
This record from the Alexandria database describes a geometry-optimized CoReHgF2 structure. The functional is GGA-PBEsol.

Cell and atoms, written as extended XYZ:
```
5
Lattice="3.8219 0.0000 0.0000 0.0000 3.8219 0.0000 0.0000 0.0000 5.6301" Properties=species:S:1:pos:R:3 pbc="T T T"
Co 0.0000 0.0000 0.0000
Re 1.9110 1.9110 2.8150
Hg 0.0000 0.0000 2.8150
F 0.0000 1.9110 0.0000
F 1.9110 0.0000 0.0000
```

Results
space-group type	P4/mmm (123)
E_tot	-4.878	eV per atom
formation energy (no corrections)	0.220	eV/atom